(1)
DFT (PBE) results for crystalline In2CuP at its relaxed geometry.

abc: 6.8971 3.9912 6.8468
angles: 90.00 109.84 90.00
Last column: nearest neighbours and their distance in Å.
Space group Cm (No. 8)
Symmetry-distinct sites (fractional):
1 In 0.0000 0.0000 0.0000 [2 per cell]  3 Cu 2.93-2.95, 3 P 3.07-3.10
2 In 0.2052 0.0000 0.6172 [2 per cell]  3 P 2.99, 3 Cu 3.15
3 Cu 0.2597 0.5000 0.2836 [2 per cell]  3 P 2.31-2.32
4 P 0.4382 0.0000 0.3205 [2 per cell]  3 Cu 2.31-2.32

Calculated volume   177.3 Å³/cell
Total magnetic moment   0.00 μB/f.u.
Energy of formation   0 kJ/mol of atoms


(2)
DFT (PBE) results for crystalline In2CuP at its relaxed geometry.

abc: 3.8440 3.8440 11.1746
angles: 90.00 90.00 90.00
Last column: nearest neighbours and their distance in Å.
Space group I-4m2 (No. 119)
Symmetry-distinct sites (fractional):
1 In 0.0000 0.0000 0.0000 [2 per cell]  4 Cu 2.72
2 In 0.0000 0.5000 0.2500 [2 per cell]  4 P 2.72
3 Cu 0.0000 0.0000 0.5000 [2 per cell]  4 In 2.72
4 P 0.0000 0.5000 0.7500 [2 per cell]  4 In 2.72

Calculated volume   165.1 Å³/cell
Total magnetic moment   0.00 μB/f.u.
Energy of formation   29 kJ/mol of atoms


(3)
DFT (PBE) results for crystalline InCu2P at its relaxed geometry.

abc: 4.0189 4.0189 3.8860
angles: 90.00 90.00 90.00
Last column: nearest neighbours and their distance in Å.
Space group P4/mmm (No. 123)
Symmetry-distinct sites (fractional):
1 In 0.0000 0.0000 0.0000 [1 per cell]  8 Cu 2.80, 4 P 2.84
2 Cu 0.0000 0.5000 0.5000 [2 per cell]  4 P 2.80, 4 In 2.80, 4 Cu 2.84
3 P 0.5000 0.5000 0.0000 [1 per cell]  8 Cu 2.80, 4 In 2.84

Calculated volume   62.8 Å³/cell
Total magnetic moment   0.00 μB/f.u.
Energy of formation   25 kJ/mol of atoms


(4)
DFT (PBE) results for crystalline In2CuP at its relaxed geometry.

abc: 3.8986 5.2830 7.8927
angles: 90.00 90.00 90.00
Last column: nearest neighbours and their distance in Å.
Space group Immm (No. 71)
Symmetry-distinct sites (fractional):
1 In 0.0000 0.0000 0.2462 [4 per cell]  2 Cu 2.75, 2 P 2.80
2 Cu 0.0000 0.5000 0.5000 [2 per cell]  4 In 2.75
3 P 0.0000 0.5000 0.0000 [2 per cell]  4 In 2.80

Calculated volume   162.6 Å³/cell
Total magnetic moment   0.00 μB/f.u.
Energy of formation   30 kJ/mol of atoms